{
  "formula": "CePrTcN3",
  "functional": "PBE-GGA",
  "state": "relaxed",
  "vol_a3_per_atom": 16.38,
  "sg": "P2_1/m",
  "lattice": [[3.4083, 0.0000, 0.0000], [0.0000, 7.5908, 0.9031], [0.0000, -1.9464, 7.3668]],
  "species": ["Ce", "Ce", "Pr", "Pr", "Tc", "Tc", "N", "N", "N", "N", "N", "N"],
  "frac_coords": [[0.2500, 0.6348, 0.1732], [0.7500, 0.3652, 0.8268], [0.7500, 0.8332, 0.8165], [0.2500, 0.1668, 0.1835], [0.2500, 0.0949, 0.5859], [0.7500, 0.9051, 0.4141], [0.2500, 0.8212, 0.5502], [0.7500, 0.8797, 0.1505], [0.7500, 0.4143, 0.1264], [0.7500, 0.1788, 0.4498], [0.2500, 0.5857, 0.8736], [0.2500, 0.1203, 0.8495]]
}

---

{
  "formula": "CePrTeN",
  "functional": "PBE-GGA",
  "state": "relaxed",
  "vol_a3_per_atom": 26.03,
  "sg": "R-3m",
  "lattice": [[-3.0036, 0.7460, 2.4837], [-3.7385, -0.0745, -1.3286], [-3.1499, -14.6427, 3.7587]],
  "species": ["Ce", "Ce", "Pr", "Pr", "Te", "Te", "N", "N"],
  "frac_coords": [[0.0000, 0.0000, 0.0000], [0.5000, 0.5000, 0.5000], [0.7622, 0.7622, 0.7134], [0.2378, 0.2378, 0.2866], [0.6208, 0.6208, 0.1376], [0.3792, 0.3792, 0.8624], [0.1892, 0.1892, 0.4325], [0.8108, 0.8108, 0.5675]]
}

---

{
  "formula": "CePrTeN2",
  "functional": "PBE-GGA",
  "state": "relaxed",
  "vol_a3_per_atom": 22.31,
  "sg": "I4mm",
  "lattice": [[4.0371, 0.0000, 0.0000], [0.0000, 4.0371, 0.0000], [-2.0186, -2.0186, 6.8432]],
  "species": ["Ce", "Pr", "Te", "N", "N"],
  "frac_coords": [[0.1707, 0.1707, 0.3415], [0.8378, 0.8378, 0.6757], [0.5039, 0.5039, 0.0078], [0.7438, 0.2438, 0.4875], [0.2438, 0.7438, 0.4875]]
}

---

{
  "formula": "Ce4PrTh3N8",
  "functional": "PBE-GGA",
  "state": "relaxed",
  "vol_a3_per_atom": 16.81,
  "sg": "R-3m",
  "lattice": [[7.2472, 0.0000, 0.0000], [0.0000, 7.2437, -0.0076], [-3.6236, -3.6204, 5.1269]],
  "species": ["Ce", "Ce", "Ce", "Ce", "Pr", "Th", "Th", "Th", "N", "N", "N", "N", "N", "N", "N", "N"],
  "frac_coords": [[0.5000, 0.0000, 0.0000], [0.5000, 0.0000, 0.5000], [0.0000, 0.0000, 0.0000], [0.0000, 0.0000, 0.5000], [0.0000, 0.5000, 0.0000], [0.5000, 0.5000, 0.0000], [0.5000, 0.5000, 0.5000], [0.0000, 0.5000, 0.5000], [0.2568, 0.7569, 0.0002], [0.2568, 0.7569, 0.5136], [0.2497, 0.2491, 0.4994], [0.7434, 0.7569, 0.0002], [0.2566, 0.2431, 0.9998], [0.7503, 0.7509, 0.5006], [0.7432, 0.2431, 0.4864], [0.7432, 0.2431, 0.9998]]
}

---

{
  "formula": "CePr2Th3N6",
  "functional": "PBE-GGA",
  "state": "relaxed",
  "vol_a3_per_atom": 17.33,
  "sg": "C2/m",
  "lattice": [[-5.4037, -2.9442, 1.5521], [5.5260, -3.0980, 0.3783], [0.5912, 3.8271, 5.0036]],
  "species": ["Ce", "Pr", "Pr", "Th", "Th", "Th", "N", "N", "N", "N", "N", "N"],
  "frac_coords": [[0.0000, 0.0000, 0.0000], [0.3334, 0.6666, 0.0000], [0.6666, 0.3334, 0.0000], [0.1669, 0.8331, 0.5000], [0.8331, 0.1669, 0.5000], [0.5000, 0.5000, 0.5000], [0.9125, 0.5916, 0.7372], [0.7667, 0.7667, 0.2647], [0.0875, 0.4084, 0.2628], [0.5916, 0.9125, 0.7372], [0.2333, 0.2333, 0.7353], [0.4084, 0.0875, 0.2628]]
}

---

{
  "formula": "Ce3PrTh2N6",
  "functional": "PBE-GGA",
  "state": "relaxed",
  "vol_a3_per_atom": 16.80,
  "sg": "C2/m",
  "lattice": [[6.2723, -0.0012, 0.0014], [-3.1357, 5.4323, 0.0014], [-1.0452, -1.8098, 5.9175]],
  "species": ["Ce", "Ce", "Ce", "Pr", "Th", "Th", "N", "N", "N", "N", "N", "N"],
  "frac_coords": [[0.1656, 0.8344, 0.5000], [0.8344, 0.1656, 0.5000], [0.5000, 0.5000, 0.5000], [0.0000, 0.0000, 0.0000], [0.3332, 0.6668, 0.0000], [0.6668, 0.3332, 0.0000], [0.9142, 0.5696, 0.7428], [0.7407, 0.7407, 0.2565], [0.0858, 0.4304, 0.2572], [0.5696, 0.9142, 0.7428], [0.2593, 0.2593, 0.7435], [0.4304, 0.0858, 0.2572]]
}

---

Number 1: spin magnetization 0.00 Bohr magnetons per cell, formation energy (no corrections) -0.8665 eV/atom, total DFT energy (no corrections) -8.542 eV/atom. Number 2: spin magnetization 0.94 Bohr magnetons per cell, formation energy (no corrections) -1.1120 eV/atom, total DFT energy (no corrections) -6.657 eV/atom. Number 3: spin magnetization 0.00 Bohr magnetons per cell, formation energy (no corrections) -1.2567 eV/atom, total DFT energy (no corrections) -7.358 eV/atom. Number 4: spin magnetization 0.00 Bohr magnetons per cell, formation energy (no corrections) -1.5172 eV/atom, total DFT energy (no corrections) -8.853 eV/atom. Number 5: spin magnetization 0.00 Bohr magnetons per cell, formation energy (no corrections) -1.5069 eV/atom, total DFT energy (no corrections) -8.816 eV/atom. Number 6: spin magnetization 0.00 Bohr magnetons per cell, formation energy (no corrections) -1.5129 eV/atom, total DFT energy (no corrections) -8.794 eV/atom.